[1]
Compound: Y4Er10Th
Source: Alexandria via LeMat-Bulk
Functional: PBE
Structure: optimized geometry

Summary:
N(E_F) = 1.760 states/eV per atom
Formation energy from the elements = 0.398 eV per atom
Crystal system = tetragonal

Cell and atoms, written as CIF:
```
data_Y4Er10Th
_chemical_formula_sum 'Y4 Er10 Th1'
_space_group_name_H-M_alt 'P 1'
_space_group_IT_number 1
_space_group_name_Hall 'P 1'
_cell_length_a 10.3265
_cell_length_b 8.6009
_cell_length_c 8.6009
_cell_angle_alpha 68.88
_cell_angle_beta 53.11
_cell_angle_gamma 53.11
loop_
_atom_site_label
_atom_site_fract_x
_atom_site_fract_y
_atom_site_fract_z
Er1 0.5508 0.3233 0.9003
Er2 0.4510 0.0997 0.3233
Er3 0.1260 0.0997 0.3233
Er4 0.7500 0.5000 0.5000
Er5 0.7743 0.6767 0.0997
Er6 0.2500 0.5000 0.5000
Er7 0.8740 0.9003 0.6767
Er8 0.5490 0.9003 0.6767
Er9 0.4492 0.6767 0.0997
Er10 0.2257 0.3233 0.9003
Y1 0.6668 0.2622 0.4042
Y2 0.9290 0.4042 0.7378
Y3 0.3332 0.7378 0.5958
Y4 0.0710 0.5958 0.2622
Th1 0.0000 0.0000 0.0000
```

***

[2]
Compound: Na2Li2ThSe4
Source: Alexandria via LeMat-Bulk
Functional: PBE
Structure: optimized geometry

Summary:
N(E_F) = 0.000 states/eV per atom
VASP energy = -40.29 eV for the cell shown
Crystal system = monoclinic

Cell and atoms, written as CIF:
```
data_Na2Li2ThSe4
_chemical_formula_sum 'Na2 Li2 Th1 Se4'
_space_group_name_H-M_alt 'P 1'
_space_group_IT_number 1
_space_group_name_Hall 'P 1'
_cell_length_a 4.2444
_cell_length_b 8.1097
_cell_length_c 7.8674
_cell_angle_alpha 117.38
_cell_angle_beta 90.00
_cell_angle_gamma 105.17
loop_
_atom_site_label
_atom_site_fract_x
_atom_site_fract_y
_atom_site_fract_z
Li1 0.6795 0.3591 0.9768
Li2 0.3205 0.6409 0.0232
Se1 0.5045 0.0090 0.2592
Se2 0.2126 0.4252 0.1913
Se3 0.4955 0.9910 0.7408
Se4 0.7874 0.5748 0.8087
Na1 0.8452 0.6904 0.4559
Na2 0.1548 0.3096 0.5441
Th1 0.0000 0.0000 0.0000
```

***

[3]
Compound: NdTh3Ir8
Source: Alexandria via LeMat-Bulk
Functional: PBE
Structure: optimized geometry

Summary:
N(E_F) = 0.834 states/eV per atom
Formation energy from the elements = -0.787 eV per atom
Crystal system = trigonal

Cell and atoms, written as CIF:
```
data_NdTh3Ir8
_chemical_formula_sum 'Nd1 Th3 Ir8'
_space_group_name_H-M_alt 'P 1'
_space_group_IT_number 1
_space_group_name_Hall 'P 1'
_cell_length_a 5.4512
_cell_length_b 5.4512
_cell_length_c 9.4416
_cell_angle_alpha 73.22
_cell_angle_beta 73.22
_cell_angle_gamma 60.00
loop_
_atom_site_label
_atom_site_fract_x
_atom_site_fract_y
_atom_site_fract_z
Nd1 0.8741 0.8741 0.3777
Ir1 0.9400 0.4369 0.1862
Ir2 0.9376 0.9376 0.6892
Ir3 0.4369 0.4369 0.1862
Ir4 0.1876 0.1876 0.4372
Ir5 0.6874 0.6874 0.9377
Ir6 0.4369 0.9400 0.1862
Ir7 0.9376 0.4356 0.6892
Ir8 0.4356 0.9376 0.6892
Th1 0.9983 0.9983 0.0051
Th2 0.3762 0.3762 0.8715
Th3 0.5018 0.5018 0.4947
```

***

[4]
Compound: TlBPt2F
Source: Alexandria via LeMat-Bulk
Functional: PBE
Structure: optimized geometry

Summary:
N(E_F) = 0.694 states/eV per atom
VASP energy = -14.87 eV for the cell shown
Crystal system = tetragonal

Cell and atoms, written as CIF:
```
data_TlBPt2F
_chemical_formula_sum 'Tl1 B1 Pt2 F1'
_space_group_name_H-M_alt 'P 1'
_space_group_IT_number 1
_space_group_name_Hall 'P 1'
_cell_length_a 5.2085
_cell_length_b 4.1957
_cell_length_c 5.2085
_cell_angle_alpha 90.00
_cell_angle_beta 90.00
_cell_angle_gamma 90.00
loop_
_atom_site_label
_atom_site_fract_x
_atom_site_fract_y
_atom_site_fract_z
Tl1 0.0000 0.0000 0.0000
Pt1 0.5000 0.0000 0.0000
Pt2 0.0000 0.0000 0.5000
B1 0.0000 0.5000 0.0000
F1 0.5000 0.5000 0.5000
```

***

[5]
Compound: Pm2MgH8
Source: Alexandria via LeMat-Bulk
Functional: PBE
Structure: optimized geometry

Summary:
VASP energy = -42.91 eV for the cell shown
Crystal system = orthorhombic

Cell and atoms, written as CIF:
```
data_Pm2MgH8
_chemical_formula_sum 'Pm2 Mg1 H8'
_space_group_name_H-M_alt 'P 1'
_space_group_IT_number 1
_space_group_name_Hall 'P 1'
_cell_length_a 3.8434
_cell_length_b 4.8810
_cell_length_c 6.4225
_cell_angle_alpha 112.33
_cell_angle_beta 107.41
_cell_angle_gamma 90.00
loop_
_atom_site_label
_atom_site_fract_x
_atom_site_fract_y
_atom_site_fract_z
Pm1 0.1708 0.6708 0.3416
Pm2 0.8292 0.3292 0.6584
H1 0.6368 0.8825 0.2736
H2 0.0000 0.7515 0.0000
H3 0.6368 0.3911 0.2736
H4 0.8001 0.8001 0.6001
H5 0.3632 0.1175 0.7264
H6 0.3632 0.6089 0.7264
H7 0.1999 0.1999 0.3999
H8 0.0000 0.2485 0.0000
Mg1 0.5000 0.0000 0.0000
```

***

[6]
Compound: HfMnN2
Source: Alexandria via LeMat-Bulk
Functional: PBE
Structure: optimized geometry

Summary:
N(E_F) = 0.423 states/eV per atom
VASP energy = -158.91 eV for the cell shown
Crystal system = orthorhombic

Cell and atoms, written as CIF:
```
data_HfMnN2
_chemical_formula_sum 'Hf4 Mn4 N8'
_space_group_name_H-M_alt 'P 1'
_space_group_IT_number 1
_space_group_name_Hall 'P 1'
_cell_length_a 4.3803
_cell_length_b 6.4430
_cell_length_c 7.2454
_cell_angle_alpha 90.00
_cell_angle_beta 90.00
_cell_angle_gamma 90.00
loop_
_atom_site_label
_atom_site_fract_x
_atom_site_fract_y
_atom_site_fract_z
Hf1 0.2500 0.4069 0.3688
Hf2 0.2500 0.9069 0.1312
Hf3 0.7500 0.0931 0.8688
Hf4 0.7500 0.5931 0.6312
N1 0.7500 0.9188 0.6253
N2 0.2500 0.5818 0.6187
N3 0.7500 0.4182 0.3813
N4 0.2500 0.5812 0.1253
N5 0.7500 0.9182 0.1187
N6 0.2500 0.0818 0.8813
N7 0.7500 0.4188 0.8747
N8 0.2500 0.0812 0.3747
Mn1 0.2500 0.4156 0.8748
Mn2 0.7500 0.5844 0.1252
Mn3 0.7500 0.0844 0.3748
Mn4 0.2500 0.9156 0.6252
```

***

[7]
Compound: CsHg2PbS
Source: Alexandria via LeMat-Bulk
Functional: PBE
Structure: optimized geometry

Summary:
N(E_F) = 0.454 states/eV per atom
VASP energy = -10.46 eV for the cell shown
Crystal system = tetragonal

Cell and atoms, written as CIF:
```
data_CsHg2PbS
_chemical_formula_sum 'Cs1 Hg2 Pb1 S1'
_space_group_name_H-M_alt 'P 1'
_space_group_IT_number 1
_space_group_name_Hall 'P 1'
_cell_length_a 5.9712
_cell_length_b 5.9712
_cell_length_c 5.6009
_cell_angle_alpha 90.00
_cell_angle_beta 90.00
_cell_angle_gamma 90.00
loop_
_atom_site_label
_atom_site_fract_x
_atom_site_fract_y
_atom_site_fract_z
Cs1 0.5000 0.5000 0.5000
S1 0.0000 0.0000 0.5000
Hg1 0.0000 0.5000 0.0000
Hg2 0.5000 0.0000 0.0000
Pb1 0.0000 0.0000 0.0000
```

***

[8]
Compound: Cd2GeAsRu
Source: Alexandria via LeMat-Bulk
Functional: PBE
Structure: optimized geometry

Summary:
N(E_F) = 0.696 states/eV per atom
Formation energy from the elements = 0.450 eV per atom
Crystal system = tetragonal

Cell and atoms, written as CIF:
```
data_Cd2GeAsRu
_chemical_formula_sum 'Cd2 Ge1 As1 Ru1'
_space_group_name_H-M_alt 'P 1'
_space_group_IT_number 1
_space_group_name_Hall 'P 1'
_cell_length_a 5.2310
_cell_length_b 4.5401
_cell_length_c 5.2310
_cell_angle_alpha 90.00
_cell_angle_beta 90.00
_cell_angle_gamma 90.00
loop_
_atom_site_label
_atom_site_fract_x
_atom_site_fract_y
_atom_site_fract_z
Ru1 0.0000 0.0000 0.0000
Cd1 0.5000 0.0000 0.0000
Cd2 0.0000 0.0000 0.5000
Ge1 0.5000 0.5000 0.5000
As1 0.0000 0.5000 0.0000
```

***

[9]
Compound: Nb3ReAu
Source: Alexandria via LeMat-Bulk
Functional: PBE
Structure: optimized geometry

Summary:
N(E_F) = 0.942 states/eV per atom
Formation energy from the elements = 1.089 eV per atom
Crystal system = cubic

Cell and atoms, written as CIF:
```
data_Nb3ReAu
_chemical_formula_sum 'Nb3 Re1 Au1'
_space_group_name_H-M_alt 'P 1'
_space_group_IT_number 1
_space_group_name_Hall 'P 1'
_cell_length_a 4.8331
_cell_length_b 4.8331
_cell_length_c 4.8331
_cell_angle_alpha 90.00
_cell_angle_beta 90.00
_cell_angle_gamma 90.00
loop_
_atom_site_label
_atom_site_fract_x
_atom_site_fract_y
_atom_site_fract_z
Au1 0.5000 0.5000 0.5000
Nb1 0.5000 0.0000 0.0000
Nb2 0.0000 0.5000 0.0000
Nb3 0.0000 0.0000 0.5000
Re1 0.0000 0.0000 0.0000
```

***

[10]
Compound: Ca2NpTaN5
Source: Alexandria via LeMat-Bulk
Functional: PBE
Structure: optimized geometry

Summary:
N(E_F) = 0.169 states/eV per atom
VASP energy = -161.12 eV for the cell shown
Crystal system = orthorhombic

Cell and atoms, written as CIF:
```
data_Ca2NpTaN5
_chemical_formula_sum 'Ca4 Np2 Ta2 N10'
_space_group_name_H-M_alt 'P 1'
_space_group_IT_number 1
_space_group_name_Hall 'P 1'
_cell_length_a 3.4696
_cell_length_b 6.9387
_cell_length_c 11.4035
_cell_angle_alpha 90.00
_cell_angle_beta 90.00
_cell_angle_gamma 104.48
loop_
_atom_site_label
_atom_site_fract_x
_atom_site_fract_y
_atom_site_fract_z
Ta1 0.4747 0.9494 0.4446
Ta2 0.5253 0.0506 0.9446
N1 0.4964 0.9929 0.7824
N2 0.3001 0.6001 0.4220
N3 0.6999 0.3999 0.9220
N4 0.7333 0.4666 0.1490
N5 0.9398 0.8795 0.5254
N6 0.5036 0.0071 0.2824
N7 0.2667 0.5334 0.6490
N8 0.6170 0.2339 0.5004
N9 0.0602 0.1205 0.0254
N10 0.3830 0.7661 0.0004
Ca1 0.9190 0.8380 0.1693
Ca2 0.0810 0.1620 0.6693
Ca3 0.1475 0.2950 0.3006
Ca4 0.8525 0.7050 0.8006
Np1 0.2250 0.4499 0.0304
Np2 0.7750 0.5501 0.5304
```

***

[11]
Compound: CeDy2TmTh
Source: Alexandria via LeMat-Bulk
Functional: PBE
Structure: optimized geometry

Summary:
N(E_F) = 2.127 states/eV per atom
Formation energy from the elements = 0.318 eV per atom
Crystal system = orthorhombic

Cell and atoms, written as CIF:
```
data_CeDy2TmTh
_chemical_formula_sum 'Ce2 Dy4 Tm2 Th2'
_space_group_name_H-M_alt 'P 1'
_space_group_IT_number 1
_space_group_name_Hall 'P 1'
_cell_length_a 5.4890
_cell_length_b 8.7313
_cell_length_c 6.9304
_cell_angle_alpha 90.04
_cell_angle_beta 90.00
_cell_angle_gamma 90.00
loop_
_atom_site_label
_atom_site_fract_x
_atom_site_fract_y
_atom_site_fract_z
Ce1 0.0000 0.0000 0.0000
Ce2 0.0000 0.0000 0.5000
Dy1 0.5002 0.3208 0.0004
Dy2 0.4998 0.6792 0.9996
Dy3 0.5002 0.6792 0.4996
Dy4 0.4998 0.3208 0.5004
Th1 0.5001 0.0000 0.2500
Th2 0.4999 0.0000 0.7500
Tm1 0.0000 0.5000 0.7500
Tm2 0.0000 0.5000 0.2500
```